1.
An optimized crystal structure of ZrTaIO2, computed with GGA-PBEsol.

Properties
E_form (uncorrected) = -901 meV per atom

Cell lengths 3.945, 3.945, 6.017 Å; angles 90.00, 90.00, 90.00 degrees
Space group P4/mmm (No. 123)
Unique sites:
Zr 0.000 0.000 0.000 [1 per cell]
Ta 0.500 0.500 0.500 [1 per cell]
I 0.500 0.500 0.000 [1 per cell]
O 0.000 0.500 0.500 [2 per cell]


2.
An optimized crystal structure of TcIO2, computed with GGA-PBEsol.

Properties
E_form (uncorrected) = -122 meV per atom

Cell lengths 3.0373, 3.0373, 26.1730 Å; angles 90.00, 90.00, 120.00 degrees
Space group R-3m (No. 166, hexagonal axes)
Unique sites:
Tc 0.0000 0.0000 0.0000 [3 per cell]
I 0.0000 0.0000 0.5000 [3 per cell]
O 0.0000 0.0000 0.0659 [6 per cell]


3.
An optimized crystal structure of TcIO2, computed with GGA-PBEsol.

Properties
E_form (uncorrected) = -733 meV per atom

Cell lengths 8.407, 8.407, 8.407 Å; angles 90.00, 90.00, 90.00 degrees
Space group Fd-3m (No. 227, origin choice 2)
Unique sites:
Tc 0.125 0.125 0.125 [8 per cell]
I 0.125 0.125 0.625 [8 per cell]
O 0.000 0.000 0.000 [16 per cell]